# Cs3Pu3NiS8 | the Alexandria database | PBE | relaxed
# Uncorrected formation energy: -1818 kJ/mol of formula units
# Final energy: -0.5057 Ry/atom
data_Cs3Pu3NiS8
_chemical_formula_sum 'Cs6 Pu6 Ni2 S16'
_cell_length_a 14.331
_cell_length_b 7.738
_cell_length_c 9.439
_cell_angle_alpha 90.00
_cell_angle_beta 121.52
_cell_angle_gamma 90.00
_space_group_name_H-M_alt 'C 1 2/m 1'
_space_group_IT_number 12
loop_
_space_group_symop_operation_xyz
'x,y,z'
'-x,-y,-z'
'-x,y,-z'
'x,-y,z'
'x+1/2,y+1/2,z'
'-x+1/2,-y+1/2,-z'
'-x+1/2,y+1/2,-z'
'x+1/2,-y+1/2,z'
loop_
_atom_site_label
_atom_site_type_symbol
_atom_site_fract_x
_atom_site_fract_y
_atom_site_fract_z
Cs1 Cs 0.000 0.000 0.000
Cs2 Cs 0.250 0.250 0.000
Pu1 Pu 0.000 0.500 0.500
Pu2 Pu 0.250 0.250 0.500
Ni1 Ni 0.000 0.000 0.500
S1 S 0.026 0.210 0.355
S2 S 0.206 0.500 0.281
S3 S 0.225 0.500 0.683